[1]
The following is a PBE-GGA calculation of a relaxed ZnAsRhSe2 crystal, from Alexandria via LeMat-Bulk.

Lattice parameters (Å, degrees): 5.0870 5.0870 4.5489 90.00 90.00 90.00
Atoms (fractional coordinates):
Rh 0.0000 0.0000 0.0000
Zn 0.5000 0.5000 0.5000
Se 0.5000 0.0000 0.0000
Se 0.0000 0.5000 0.0000
As 0.0000 0.0000 0.5000

Results
Polymorph energy (0 for the lowest one) in meV per atom: 0
Space group: P4/mmm
Formation energy without anion corrections in eV/atom: 0.3962
Total DFT energy (no corrections) in eV per atom: -3.653
Density of states at the Fermi level in states/eV per atom: 0.72

---

[2]
The following is a PBE-GGA calculation of a relaxed ZnAsRhSe2 crystal, from Alexandria via LeMat-Bulk.

Lattice parameters (Å, degrees): 4.8325 4.8325 4.6683 90.00 90.00 90.00
Atoms (fractional coordinates):
Se 0.5000 0.0000 0.0000
Se 0.0000 0.5000 0.0000
Zn 0.0000 0.0000 0.0000
Rh 0.5000 0.5000 0.5000
As 0.0000 0.0000 0.5000

Results
Polymorph energy (0 for the lowest one) in meV per atom: 495
Space group: P4/mmm
Formation energy without anion corrections in eV/atom: 0.8911
Total DFT energy (no corrections) in eV per atom: -3.158
Density of states at the Fermi level in states/eV per atom: 0.95

---

[3]
The following is a PBE-GGA calculation of a relaxed SiAs4Rh crystal, from Alexandria via LeMat-Bulk.

Lattice parameters (Å, degrees): 5.4385 5.4385 5.4385 60.00 60.00 60.00
Atoms (fractional coordinates):
As 0.3737 0.3737 0.3737
As 0.3737 0.8790 0.3737
As 0.3737 0.3737 0.8790
As 0.8790 0.3737 0.3737
Si 0.0000 0.0000 0.0000
Rh 0.7500 0.7500 0.7500

Results
Space group: F-43m
Formation energy without anion corrections in eV/atom: 0.7221
Total DFT energy (no corrections) in eV per atom: -4.507
Density of states at the Fermi level in states/eV per atom: 0.72